Entry 1:
Density functional theory data (PBE) for a geometry-optimized Na12Tl3Cd structure.

Cell lengths 5.0127, 5.0127, 19.4228 Å; angles 90.00, 90.00, 90.00 degrees
Last column: nearest neighbours and their distance in Å.
Positions (direct):
Na 0.0000 0.0000 0.0000  8 Na 3.47, 4 Cd 3.54
Na 0.0000 0.0000 0.2491  8 Na 3.49-3.50, 4 Tl 3.54
Na 0.0000 0.0000 0.5000  8 Na 3.49, 4 Tl 3.54
Na 0.0000 0.0000 0.7509  8 Na 3.49-3.50, 4 Tl 3.54
Na 0.0000 0.5000 0.1238  2 Cd 3.47, 8 Na 3.47-3.54, 2 Tl 3.50
Na 0.0000 0.5000 0.3752  4 Tl 3.49-3.50, 8 Na 3.49-3.54
Na 0.0000 0.5000 0.6248  4 Tl 3.49-3.50, 8 Na 3.49-3.54
Na 0.0000 0.5000 0.8762  2 Cd 3.47, 8 Na 3.47-3.54, 2 Tl 3.50
Na 0.5000 0.0000 0.1238  2 Cd 3.47, 8 Na 3.47-3.54, 2 Tl 3.50
Na 0.5000 0.0000 0.3752  4 Tl 3.49-3.50, 8 Na 3.49-3.54
Na 0.5000 0.0000 0.6248  4 Tl 3.49-3.50, 8 Na 3.49-3.54
Na 0.5000 0.0000 0.8762  2 Cd 3.47, 8 Na 3.47-3.54, 2 Tl 3.50
Tl 0.5000 0.5000 0.2497  12 Na 3.50-3.54
Tl 0.5000 0.5000 0.5000  12 Na 3.49-3.54
Tl 0.5000 0.5000 0.7503  12 Na 3.50-3.54
Cd 0.5000 0.5000 0.0000  12 Na 3.47-3.54

V: 488 Å³/cell
Magnetic moment: 0.00 μB per cell
DOS at the Fermi energy: 7.013 states/eV/f.u.
Symmetry: P4/mmm (123)
Formation energy: -0.064 eV per atom
Total DFT energy (no corrections): -1.5539 eV per atom

***

Entry 2:
Density functional theory data (PBE) for a geometry-optimized Na4TlCd3 structure.

Cell lengths 9.8698, 9.8698, 4.7189 Å; angles 103.78, 103.78, 29.18 degrees
Last column: nearest neighbours and their distance in Å.
Positions (direct):
Na 0.1159 0.1159 0.1159  2 Tl 3.19, 6 Cd 3.28-3.43, 4 Na 3.45-3.49
Na 0.2520 0.2520 0.7517  4 Cd 3.36-3.51, 8 Na 3.43-3.49
Na 0.7480 0.7480 0.2483  4 Cd 3.36-3.51, 8 Na 3.43-3.49
Na 0.8841 0.8841 0.8841  2 Tl 3.19, 6 Cd 3.28-3.43, 4 Na 3.45-3.49
Tl 0.0000 0.0000 0.5000  4 Na 3.19, 8 Cd 3.31-3.43
Cd 0.3816 0.3816 0.3800  2 Cd 3.21-3.23, 2 Tl 3.31, 8 Na 3.36-3.51
Cd 0.5000 0.5000 0.0000  4 Cd 3.21-3.23, 4 Na 3.28, 4 Tl 3.43
Cd 0.6184 0.6184 0.6200  2 Cd 3.21-3.23, 2 Tl 3.31, 8 Na 3.36-3.51

V: 217 Å³/cell
Magnetic moment: 0.00 μB per cell
DOS at the Fermi energy: 2.224 states/eV/f.u.
Polymorph energy (0 for the lowest one): 0.025 eV/atom
Symmetry: C2/m (12)
Formation energy: -0.061 eV per atom
Total DFT energy (no corrections): -1.3598 eV per atom

***

Entry 3:
Density functional theory data (PBE) for a geometry-optimized Na4Tl3Cd structure.

Cell lengths 3.5440, 5.2311, 12.4597 Å; angles 90.00, 90.00, 90.00 degrees
Last column: nearest neighbours and their distance in Å.
Positions (direct):
Na 0.0000 0.0000 0.0000  5 Tl 3.31-3.38, 2 Cd 3.38, 2 Na 3.54
Na 0.0000 0.5000 0.3288  3 Tl 3.30-3.39, 4 Cd 3.38, 2 Na 3.54
Na 0.5000 0.0000 0.4960  1 Cd 3.30, 6 Tl 3.38-3.46, 2 Na 3.54
Na 0.5000 0.5000 0.8302  7 Tl 3.33-3.44, 2 Na 3.54
Tl 0.0000 0.0000 0.7342  2 Tl 3.15, 7 Na 3.31-3.46
Tl 0.0000 0.5000 0.5934  2 Tl 3.15, 7 Na 3.30-3.44
Tl 0.5000 0.5000 0.0972  2 Cd 3.10, 7 Na 3.33-3.39
Cd 0.5000 0.0000 0.2314  2 Tl 3.10, 7 Na 3.30-3.38

V: 231 Å³/cell
Magnetic moment: 0.00 μB per cell
DOS at the Fermi energy: 3.897 states/eV/f.u.
Polymorph energy (0 for the lowest one): 0.000 eV/atom
Symmetry: Pmm2 (25)
Formation energy: -0.095 eV per atom
Total DFT energy (no corrections): -1.7562 eV per atom